a:
The following is a DFT calculation (PBE) of Cd2ReRu after structural relaxation.

The crystal system is tetragonal.

The structure belongs to space group P4mm (No. 99); the cell edges are 2.9054, 2.9054 and 8.3273 Å and the angles 90.00°, 90.00° and 90.00°. Symmetry generates all atoms from Cd at (0.0000, 0.0000, 0.0000), Cd at (0.5000, 0.5000, 0.2980), Re at (0.0000, 0.0000, 0.5587) and Ru at (0.5000, 0.5000, 0.7454).

b:
The following is a DFT calculation (PBE) of Cd2ReRu after structural relaxation.

The crystal system is tetragonal.

The structure belongs to space group P4/mmm (No. 123); the cell edges are 2.7649, 2.7649 and 9.0089 Å and the angles 90.00°, 90.00° and 90.00°. Symmetry generates all atoms from Cd at (0.0000, 0.0000, 0.2430), Re at (0.5000, 0.5000, 0.5000) and Ru at (0.5000, 0.5000, 0.0000).

c:
The following is a DFT calculation (PBE) of Cd2ReRu after structural relaxation.

The crystal system is tetragonal.

The structure belongs to space group I4/mmm (No. 139); the cell edges are 3.8851, 3.8851 and 9.0821 Å and the angles 90.00°, 90.00° and 90.00°. Symmetry generates all atoms from Cd at (0.0000, 0.5000, 0.2500), Re at (0.0000, 0.0000, 0.0000) and Ru at (0.0000, 0.0000, 0.5000).

Most stable: a

a:
The following is a DFT calculation (PBE) of CdRe2S after structural relaxation.

The crystal system is cubic.

The structure belongs to space group Fm-3m (No. 225); the cell edges are 6.2547, 6.2547 and 6.2547 Å and the angles 90.00°, 90.00° and 90.00°. Symmetry generates all atoms from Cd at (0.0000, 0.0000, 0.0000), Re at (0.2500, 0.2500, 0.2500) and S at (0.0000, 0.0000, 0.5000).

b:
The following is a DFT calculation (PBE) of CdRe2S after structural relaxation.

The crystal system is tetragonal.

The structure belongs to space group I-42d (No. 122); the cell edges are 4.1601, 4.1601 and 17.2738 Å and the angles 90.00°, 90.00° and 90.00°. Symmetry generates all atoms from Cd at (0.0000, 0.0000, 0.0000), Re at (0.1558, 0.2500, 0.6250) and S at (0.0000, 0.0000, 0.5000).

Most stable: b